No. 1
A relaxed structure of LaMnTe2, computed with GGA-PBE.

a b c (Å): 4.3775 4.3775 6.4275
angles (deg): 90.00 90.00 90.00
Atoms (fractional coordinates):
1 La 0.0000 0.0000 0.4249
2 Te 0.5000 0.5000 0.3621
3 Te 0.0000 0.0000 0.9072
4 Mn 0.5000 0.5000 0.8057

Results
Formation energy without anion corrections ... -0.730 eV/atom
Energy relative to the lowest polymorph listed for this composition ... 0.0786 eV per atom
Space-group type ... No. 99



No. 2
A relaxed structure of Er8Cu3Bi2, computed with GGA-PBE.

a b c (Å): 6.2304 6.8334 9.1744
angles (deg): 111.86 98.01 90.00
Atoms (fractional coordinates):
1 Er 0.2151 0.4503 0.9006
2 Er 0.1653 0.8608 0.7216
3 Er 0.8347 0.1392 0.2784
4 Er 0.3415 0.8761 0.2454
5 Er 0.6585 0.1239 0.7546
6 Er 0.6585 0.6307 0.7546
7 Er 0.3415 0.3693 0.2454
8 Er 0.7849 0.5497 0.0994
9 Bi 0.7370 0.7252 0.4504
10 Bi 0.2630 0.2748 0.5496
11 Cu 0.5000 0.0000 0.0000
12 Cu 0.0000 0.8286 0.0000
13 Cu 0.0000 0.1714 0.0000

Results
Formation energy from the elements ... -198 meV per atom
Space-group type ... No. 12